[1]
Pm3Zn7Ag2 | PBE | optimized geometry

abc: 4.4009 4.1925 13.8986
angles: 90.00 98.84 90.00
With the nearest neighbours (Å) after each atom.
Fractional coordinates of all 12 atoms:
Pm 0.0000 0.0000 0.0000  12 Zn 2.99-3.05
Pm 0.3228 0.5000 0.6434  4 Ag 3.26-3.28, 10 Zn 3.31-3.54
Pm 0.6772 0.5000 0.3566  4 Ag 3.26-3.28, 10 Zn 3.31-3.54
Zn 0.0766 0.5000 0.1550  2 Ag 2.61
Zn 0.2284 0.0000 0.4567  2 Zn 2.50-2.51, 1 Ag 2.59
Zn 0.4252 0.0000 0.8462  2 Ag 2.70-2.71, 2 Zn 2.98
Zn 0.5000 0.5000 0.0000  8 Zn 2.98-3.07, 4 Pm 3.04
Zn 0.5748 0.0000 0.1538  2 Ag 2.70-2.71, 2 Zn 2.98
Zn 0.7716 0.0000 0.5433  2 Zn 2.50-2.51, 1 Ag 2.59
Zn 0.9234 0.5000 0.8450  2 Ag 2.61
Ag 0.1313 0.0000 0.2681  5 Zn 2.59-2.71
Ag 0.8687 0.0000 0.7319  5 Zn 2.59-2.71

Values from the calculation:
formation energy	-219	meV per atom

***

[2]
Pm6ZnAg | PBE | optimized geometry

abc: 9.5870 9.5870 9.5870
angles: 148.53 148.53 45.10
With the nearest neighbours (Å) after each atom.
Fractional coordinates of all 8 atoms:
Pm 0.1056 0.6056 0.5000  2 Zn 3.20, 2 Ag 3.20
Pm 0.2487 0.2487 0.0000  12 Pm 3.63-3.68
Pm 0.3944 0.8944 0.5000  2 Zn 3.20, 2 Ag 3.20
Pm 0.6056 0.1056 0.5000  2 Zn 3.20, 2 Ag 3.20
Pm 0.7513 0.7513 0.0000  12 Pm 3.63-3.68
Pm 0.8944 0.3944 0.5000  2 Zn 3.20, 2 Ag 3.20
Zn 0.0000 0.0000 0.0000  8 Pm 3.20
Ag 0.5000 0.5000 0.0000  8 Pm 3.20

Values from the calculation:
formation energy	-129	meV per atom

***

[3]
PmZn2Ag6 | PBE | optimized geometry

abc: 4.2018 4.2018 9.8062
angles: 90.00 90.00 90.00
With the nearest neighbours (Å) after each atom.
Fractional coordinates of all 9 atoms:
Pm 0.0000 0.0000 0.0000  8 Zn 3.22, 8 Ag 3.53
Zn 0.5000 0.5000 0.1258  1 Zn 2.47, 4 Ag 2.64
Zn 0.5000 0.5000 0.8742  1 Zn 2.47, 4 Ag 2.64
Ag 0.0000 0.0000 0.5000  12 Ag 2.95-2.97
Ag 0.0000 0.5000 0.2894  2 Zn 2.64, 4 Ag 2.95
Ag 0.0000 0.5000 0.7106  2 Zn 2.64, 4 Ag 2.95
Ag 0.5000 0.0000 0.2894  2 Zn 2.64, 4 Ag 2.95
Ag 0.5000 0.0000 0.7106  2 Zn 2.64, 4 Ag 2.95
Ag 0.5000 0.5000 0.5000  12 Ag 2.95-2.97

Values from the calculation:
formation energy	-121	meV per atom

***

[4]
Pm6ZnAg3 | PBE | optimized geometry

abc: 9.2069 5.1489 12.0530
angles: 90.00 104.92 90.00
With the nearest neighbours (Å) after each atom.
Fractional coordinates of all 20 atoms:
Pm 0.0157 0.2500 0.1085  4 Ag 3.09-3.26
Pm 0.1612 0.2500 0.7059  1 Zn 3.00, 4 Ag 3.01-3.17
Pm 0.2240 0.7500 0.5122  4 Ag 2.98-3.31
Pm 0.3648 0.7500 0.1164  3 Ag 2.91-3.10, 1 Zn 3.13
Pm 0.3747 0.2500 0.3537  3 Zn 3.04-3.20, 3 Ag 3.13-3.33
Pm 0.3790 0.7500 0.8420  3 Ag 3.26-3.38, 5 Pm 3.34-3.44
Pm 0.6210 0.2500 0.1580  3 Ag 3.26-3.38, 5 Pm 3.34-3.44
Pm 0.6253 0.7500 0.6463  3 Zn 3.04-3.20, 3 Ag 3.13-3.33
Pm 0.6352 0.2500 0.8836  3 Ag 2.91-3.10, 1 Zn 3.13
Pm 0.7760 0.2500 0.4878  4 Ag 2.98-3.31
Pm 0.8388 0.7500 0.2941  1 Zn 3.00, 4 Ag 3.01-3.17
Pm 0.9843 0.7500 0.8915  4 Ag 3.09-3.26
Zn 0.4458 0.2500 0.6277  7 Pm 3.00-3.36
Zn 0.5542 0.7500 0.3723  7 Pm 3.00-3.36
Ag 0.0406 0.2500 0.3695  7 Pm 3.09-3.31, 2 Ag 3.19
Ag 0.1494 0.7500 0.2561  5 Pm 2.91-3.19, 2 Ag 3.19
Ag 0.2773 0.2500 0.9706  7 Pm 3.09-3.38
Ag 0.7227 0.7500 0.0294  7 Pm 3.09-3.38
Ag 0.8506 0.2500 0.7439  5 Pm 2.91-3.19, 2 Ag 3.19
Ag 0.9594 0.7500 0.6305  7 Pm 3.09-3.31, 2 Ag 3.19

Values from the calculation:
formation energy	-170	meV per atom

***

[5]
PmZnAg2 | PBE | optimized geometry

abc: 5.3170 5.3170 5.3170
angles: 52.03 52.03 52.03
With the nearest neighbours (Å) after each atom.
Fractional coordinates of all 4 atoms:
Pm 0.0000 0.0000 0.0000  8 Ag 3.04-3.10
Zn 0.5000 0.5000 0.5000  6 Ag 2.80
Ag 0.2212 0.2212 0.2212  3 Zn 2.80, 4 Pm 3.04-3.10, 3 Ag 3.08
Ag 0.7788 0.7788 0.7788  3 Zn 2.80, 4 Pm 3.04-3.10, 3 Ag 3.08

Values from the calculation:
formation energy	-217	meV per atom

***

[6]
Pm3Zn3Ag | PBE | optimized geometry

abc: 10.4889 10.4889 10.4889
angles: 160.12 154.80 32.30
With the nearest neighbours (Å) after each atom.
Fractional coordinates of all 7 atoms:
Pm 0.0000 0.0000 0.0000  7 Zn 3.09-3.36
Pm 0.3866 0.3866 0.0000  5 Zn 3.11-3.38, 2 Ag 3.17
Pm 0.6896 0.1896 0.5000  8 Zn 3.20-3.41, 4 Ag 3.22
Zn 0.1243 0.6243 0.5000  1 Ag 2.68, 2 Zn 2.69
Zn 0.5541 0.5541 0.0000  2 Zn 2.69
Zn 0.8333 0.8333 0.0000  2 Ag 2.75
Ag 0.2574 0.7574 0.5000  3 Zn 2.68-2.75

Values from the calculation:
formation energy	-287	meV per atom

***

[7]
PmZn3Ag2 | PBE | optimized geometry

abc: 4.5160 4.5160 13.0489
angles: 90.00 90.00 120.00
With the nearest neighbours (Å) after each atom.
Fractional coordinates of all 12 atoms:
Pm 0.0000 0.0000 0.2500  8 Zn 3.04-3.26
Pm 0.0000 0.0000 0.7500  8 Zn 3.04-3.26
Zn 0.0000 0.0000 0.0000  6 Ag 2.81, 6 Zn 3.11
Zn 0.0000 0.0000 0.5000  6 Ag 2.81, 6 Zn 3.11
Zn 0.3333 0.6667 0.1300  4 Ag 2.68-2.76
Zn 0.3333 0.6667 0.3700  4 Ag 2.68-2.76
Zn 0.6667 0.3333 0.6300  4 Ag 2.68-2.76
Zn 0.6667 0.3333 0.8700  4 Ag 2.68-2.76
Ag 0.3333 0.6667 0.5812  7 Zn 2.68-2.81
Ag 0.3333 0.6667 0.9188  7 Zn 2.68-2.81
Ag 0.6667 0.3333 0.0812  7 Zn 2.68-2.81
Ag 0.6667 0.3333 0.4188  7 Zn 2.68-2.81

Values from the calculation:
formation energy	-215	meV per atom

***

[8]
Pm8Zn2Ag | PBE | optimized geometry

abc: 9.5204 9.5204 7.0188
angles: 103.68 103.68 31.68
With the nearest neighbours (Å) after each atom.
Fractional coordinates of all 11 atoms:
Pm 0.0290 0.0290 0.2669  1 Zn 3.02, 2 Ag 3.18
Pm 0.1981 0.1981 0.8159  1 Zn 2.95
Pm 0.3346 0.3346 0.5349  3 Zn 2.97-3.17, 1 Ag 3.10
Pm 0.4087 0.4087 0.0414  1 Ag 3.24, 2 Zn 3.45, 6 Pm 3.48-3.54
Pm 0.5913 0.5913 0.9586  1 Ag 3.24, 2 Zn 3.45, 6 Pm 3.48-3.54
Pm 0.6654 0.6654 0.4651  3 Zn 2.97-3.17, 1 Ag 3.10
Pm 0.8019 0.8019 0.1841  1 Zn 2.95
Pm 0.9710 0.9710 0.7331  1 Zn 3.02, 2 Ag 3.18
Zn 0.1897 0.1897 0.2297  5 Pm 2.95-3.17
Zn 0.8103 0.8103 0.7703  5 Pm 2.95-3.17
Ag 0.5000 0.5000 0.5000  8 Pm 3.10-3.24

Values from the calculation:
formation energy	-118	meV per atom

***

[9]
Pm3Zn2Ag2 | PBE | optimized geometry

abc: 11.2949 11.2949 3.5879
angles: 90.00 90.00 158.33
With the nearest neighbours (Å) after each atom.
Fractional coordinates of all 7 atoms:
Pm 0.0000 0.0000 0.0000  8 Ag 3.32, 4 Pm 3.57-3.59
Pm 0.1607 0.8393 0.0000  6 Zn 3.08-3.19, 4 Ag 3.29
Pm 0.8393 0.1607 0.0000  6 Zn 3.08-3.19, 4 Ag 3.29
Zn 0.2799 0.7201 0.5000  2 Zn 2.50
Zn 0.7201 0.2799 0.5000  2 Zn 2.50
Ag 0.4183 0.5817 0.5000  1 Zn 3.07, 8 Pm 3.29-3.32
Ag 0.5817 0.4183 0.5000  1 Zn 3.07, 8 Pm 3.29-3.32

Values from the calculation:
formation energy	-250	meV per atom

***

[10]
Pm3ZnAg | PBE | optimized geometry

abc: 7.1159 7.6761 10.1514
angles: 90.00 95.67 90.00
With the nearest neighbours (Å) after each atom.
Fractional coordinates of all 20 atoms:
Pm 0.1674 0.1472 0.3995  3 Zn 3.01-3.09, 2 Ag 3.11-3.19
Pm 0.1674 0.3528 0.8995  3 Zn 3.01-3.09, 2 Ag 3.11-3.19
Pm 0.2246 0.5342 0.5928  1 Ag 3.08, 3 Zn 3.12-3.44
Pm 0.2246 0.9658 0.0928  1 Ag 3.08, 3 Zn 3.12-3.44
Pm 0.3227 0.5302 0.2263  3 Ag 3.07-3.24, 2 Zn 3.11-3.36
Pm 0.3227 0.9698 0.7263  3 Ag 3.07-3.24, 2 Zn 3.11-3.36
Pm 0.6773 0.0302 0.2737  3 Ag 3.07-3.24, 2 Zn 3.11-3.36
Pm 0.6773 0.4698 0.7737  3 Ag 3.07-3.24, 2 Zn 3.11-3.36
Pm 0.7754 0.0342 0.9072  1 Ag 3.08, 3 Zn 3.12-3.44
Pm 0.7754 0.4658 0.4072  1 Ag 3.08, 3 Zn 3.12-3.44
Pm 0.8326 0.6472 0.1005  3 Zn 3.01-3.09, 2 Ag 3.11-3.19
Pm 0.8326 0.8528 0.6005  3 Zn 3.01-3.09, 2 Ag 3.11-3.19
Zn 0.0499 0.7272 0.8617  1 Ag 2.81, 6 Pm 3.01-3.13
Zn 0.0499 0.7728 0.3617  1 Ag 2.81, 6 Pm 3.01-3.13
Zn 0.9501 0.2272 0.6383  1 Ag 2.81, 6 Pm 3.01-3.13
Zn 0.9501 0.2728 0.1383  1 Ag 2.81, 6 Pm 3.01-3.13
Ag 0.4349 0.6856 0.9475  1 Zn 2.81, 3 Pm 3.07-3.11
Ag 0.4349 0.8144 0.4475  1 Zn 2.81, 3 Pm 3.07-3.11
Ag 0.5651 0.1856 0.5525  1 Zn 2.81, 3 Pm 3.07-3.11
Ag 0.5651 0.3144 0.0525  1 Zn 2.81, 3 Pm 3.07-3.11

Values from the calculation:
formation energy	-148	meV per atom

***

Q: Which of these has the highest formation energy?
A: Pm8Zn2Ag

***

Q: Which of these has the lowest formation energy?
A: Pm3Zn3Ag

***

Q: Look up the formation energy of the ninth one.
A: -250 meV per atom

***

Q: Which value of formation energy does entry 4 give?
A: -170 meV per atom